1.
Entry from Alexandria via LeMat-Bulk: crystalline Ga12Hg3Ge5 at its relaxed geometry (PBE).

Values from the calculation:
E = -2.88 eV per atom
magnetic moment = 0.00 μB/f.u.
formation energy = 0.137 eV per atom

Cell lengths 13.3747, 13.3747, 13.3747 Å; angles 109.47, 109.47, 109.47 degrees
Last column: nearest neighbours and their distance in Å.
Fractional coordinates of all 80 atoms:
Ge1 0.1250 0.3750 0.2500  4 Ga 2.51
Ge2 0.0000 0.5000 0.0000  6 Ga 2.60
Ge3 0.0000 0.0000 0.0000  6 Ga 2.60
Ge4 0.3750 0.2500 0.1250  4 Ga 2.51
Ge5 0.5000 0.0000 0.5000  6 Ga 2.60
Ge6 0.5000 0.5000 0.0000  6 Ga 2.60
Ge7 0.1250 0.7500 0.3750  4 Ga 2.51
Ge8 0.7500 0.1250 0.8750  4 Ga 2.51
Ge9 0.7500 0.6250 0.3750  4 Ga 2.51
Ge10 0.3750 0.1250 0.7500  4 Ga 2.51
Ge11 0.6250 0.8750 0.2500  4 Ga 2.51
Ge12 0.5000 0.5000 0.5000  6 Ga 2.60
Ge13 0.5000 0.0000 0.0000  6 Ga 2.60
Ge14 0.0000 0.0000 0.5000  6 Ga 2.60
Ge15 0.2500 0.3750 0.6250  4 Ga 2.51
Ge16 0.2500 0.8750 0.1250  4 Ga 2.51
Ge17 0.0000 0.5000 0.5000  6 Ga 2.60
Ge18 0.8750 0.2500 0.6250  4 Ga 2.51
Ge19 0.6250 0.7500 0.8750  4 Ga 2.51
Ge20 0.8750 0.6250 0.7500  4 Ga 2.51
Hg1 0.7500 0.3750 0.1250  4 Ga 2.70
Hg2 0.8750 0.7500 0.1250  4 Ga 2.70
Hg3 0.3750 0.7500 0.6250  4 Ga 2.70
Hg4 0.2500 0.1250 0.3750  4 Ga 2.70
Hg5 0.8750 0.1250 0.2500  4 Ga 2.70
Hg6 0.3750 0.6250 0.2500  4 Ga 2.70
Hg7 0.6250 0.3750 0.7500  4 Ga 2.70
Hg8 0.1250 0.8750 0.7500  4 Ga 2.70
Hg9 0.7500 0.8750 0.6250  4 Ga 2.70
Hg10 0.6250 0.2500 0.3750  4 Ga 2.70
Hg11 0.1250 0.2500 0.8750  4 Ga 2.70
Hg12 0.2500 0.6250 0.8750  4 Ga 2.70
Ga1 0.7254 0.1196 0.0517  2 Ge 2.51-2.60, 1 Hg 2.70
Ga2 0.3262 0.5517 0.4320  2 Ge 2.51-2.60, 1 Hg 2.70
Ga3 0.9483 0.3804 0.2746  2 Ge 2.51-2.60, 1 Hg 2.70
Ga4 0.5517 0.2254 0.1196  2 Ge 2.51-2.60, 1 Hg 2.70
Ga5 0.6058 0.7254 0.6738  2 Ge 2.51-2.60, 1 Hg 2.70
Ga6 0.9483 0.5680 0.1737  2 Ge 2.51-2.60, 1 Hg 2.70
Ga7 0.3262 0.7746 0.3942  2 Ge 2.51-2.60, 1 Hg 2.70
Ga8 0.0680 0.8942 0.1196  2 Ge 2.51-2.60, 1 Hg 2.70
Ga9 0.5680 0.9483 0.6738  2 Ge 2.51-2.60, 1 Hg 2.70
Ga10 0.7254 0.6058 0.1737  2 Ge 2.51-2.60, 1 Hg 2.70
Ga11 0.7746 0.4483 0.3804  2 Ge 2.51-2.60, 1 Hg 2.70
Ga12 0.8262 0.9320 0.0517  2 Ge 2.51-2.60, 1 Hg 2.70
Ga13 0.1196 0.7254 0.5517  2 Ge 2.51-2.60, 1 Hg 2.70
Ga14 0.3804 0.4320 0.1058  2 Ge 2.51-2.60, 1 Hg 2.70
Ga15 0.1058 0.9320 0.3804  2 Ge 2.51-2.60, 1 Hg 2.70
Ga16 0.3942 0.1196 0.5680  2 Ge 2.51-2.60, 1 Hg 2.70
Ga17 0.1058 0.1737 0.2254  2 Ge 2.51-2.60, 1 Hg 2.70
Ga18 0.4483 0.6738 0.0680  2 Ge 2.51-2.60, 1 Hg 2.70
Ga19 0.8262 0.8942 0.2746  2 Ge 2.51-2.60, 1 Hg 2.70
Ga20 0.1196 0.3942 0.0680  2 Ge 2.51-2.60, 1 Hg 2.70
Ga21 0.3804 0.9483 0.7746  2 Ge 2.51-2.60, 1 Hg 2.70
Ga22 0.5680 0.6196 0.3942  2 Ge 2.51-2.60, 1 Hg 2.70
Ga23 0.9320 0.8262 0.5517  2 Ge 2.51-2.60, 1 Hg 2.70
Ga24 0.7746 0.3262 0.8942  2 Ge 2.51-2.60, 1 Hg 2.70
Ga25 0.4320 0.3804 0.6058  2 Ge 2.51-2.60, 1 Hg 2.70
Ga26 0.0680 0.1737 0.4483  2 Ge 2.51-2.60, 1 Hg 2.70
Ga27 0.2254 0.6738 0.1058  2 Ge 2.51-2.60, 1 Hg 2.70
Ga28 0.1737 0.1058 0.7254  2 Ge 2.51-2.60, 1 Hg 2.70
Ga29 0.6196 0.0517 0.2254  2 Ge 2.51-2.60, 1 Hg 2.70
Ga30 0.8804 0.6058 0.9320  2 Ge 2.51-2.60, 1 Hg 2.70
Ga31 0.5517 0.3262 0.9320  2 Ge 2.51-2.60, 1 Hg 2.70
Ga32 0.6058 0.8804 0.4320  2 Ge 2.51-2.60, 1 Hg 2.70
Ga33 0.8942 0.8262 0.7746  2 Ge 2.51-2.60, 1 Hg 2.70
Ga34 0.8942 0.0680 0.6196  2 Ge 2.51-2.60, 1 Hg 2.70
Ga35 0.8804 0.2746 0.4483  2 Ge 2.51-2.60, 1 Hg 2.70
Ga36 0.1737 0.0680 0.9483  2 Ge 2.51-2.60, 1 Hg 2.70
Ga37 0.6196 0.5680 0.8942  2 Ge 2.51-2.60, 1 Hg 2.70
Ga38 0.4320 0.0517 0.3262  2 Ge 2.51-2.60, 1 Hg 2.70
Ga39 0.2746 0.3942 0.8262  2 Ge 2.51-2.60, 1 Hg 2.70
Ga40 0.2254 0.5517 0.6196  2 Ge 2.51-2.60, 1 Hg 2.70
Ga41 0.9320 0.1058 0.8804  2 Ge 2.51-2.60, 1 Hg 2.70
Ga42 0.6738 0.2254 0.6058  2 Ge 2.51-2.60, 1 Hg 2.70
Ga43 0.4483 0.7746 0.8804  2 Ge 2.51-2.60, 1 Hg 2.70
Ga44 0.0517 0.4320 0.8262  2 Ge 2.51-2.60, 1 Hg 2.70
Ga45 0.3942 0.2746 0.3262  2 Ge 2.51-2.60, 1 Hg 2.70
Ga46 0.0517 0.6196 0.7254  2 Ge 2.51-2.60, 1 Hg 2.70
Ga47 0.6738 0.4483 0.5680  2 Ge 2.51-2.60, 1 Hg 2.70
Ga48 0.2746 0.8804 0.9483  2 Ge 2.51-2.60, 1 Hg 2.70

2.
Entry from Alexandria via LeMat-Bulk: crystalline BaCaAlCu at its relaxed geometry (PBE).

Values from the calculation:
E = -3.07 eV per atom
magnetic moment = 0.00 μB/f.u.
formation energy = -0.126 eV per atom

Cell lengths 4.3780, 4.3780, 8.4201 Å; angles 90.01, 105.04, 120.05 degrees
Last column: nearest neighbours and their distance in Å.
Fractional coordinates of all 4 atoms:
Ba1 0.3619 0.0459 0.4078  3 Al 3.47, 3 Cu 3.52-3.53
Ca1 0.0069 0.8678 0.8747  3 Cu 3.12, 3 Al 3.17
Al1 0.8318 0.2805 0.1123  3 Cu 2.53
Cu1 0.4916 0.6102 0.1017  3 Al 2.53